No. 1
Computed, not measured: a relaxed KHIr2 crystal at the PBE-GGA level of DFT.

abc: 8.0831 8.0831 8.0831
angles: 90.00 90.00 90.00
Last column: nearest neighbours and their distance in Å.
Space group Fd-3m (No. 227, origin choice 2)
Unique sites:
K: 0.1250 0.1250 0.1250 (multiplicity 8)  12 Ir 3.35, 4 K 3.50, 4 H 3.50
H: 0.1250 0.1250 0.6250 (multiplicity 8)  4 Ir 1.75
Ir: 0.0000 0.0000 0.5000 (multiplicity 16)  2 H 1.75

Uncorrected energy (eV per atom): -5.00

---

No. 2
Computed, not measured: a relaxed K3H9Ir2 crystal at the PBE-GGA level of DFT.

abc: 5.7592 5.7592 14.6441
angles: 90.00 90.00 120.00
Last column: nearest neighbours and their distance in Å.
Space group P6_3/mmc (No. 194)
Unique sites:
K: 0.0000 0.0000 0.2500 (multiplicity 2)  12 H 2.89-3.13
K: 0.3333 0.6667 0.0843 (multiplicity 4)  12 H 2.85-3.11
H: 0.0581 0.5291 0.7500 (multiplicity 6)  2 Ir 1.87
H: 0.2099 0.4198 0.5912 (multiplicity 12)  1 Ir 1.63
Ir: 0.3333 0.6667 0.6637 (multiplicity 4)  3 H 1.63

Uncorrected energy (eV per atom): -3.99

---

No. 3
Computed, not measured: a relaxed K3H8Ir crystal at the PBE-GGA level of DFT.

abc: 5.5373 5.5373 10.3117
angles: 90.00 90.00 90.00
Last column: nearest neighbours and their distance in Å.
Space group I4/mmm (No. 139)
Unique sites:
K: 0.0000 0.0000 0.0000 (multiplicity 2)  8 H 2.69
K: 0.0000 0.5000 0.2500 (multiplicity 4)  8 H 2.58
H: 0.1808 0.1808 0.4043 (multiplicity 16)  1 Ir 1.73
Ir: 0.0000 0.0000 0.5000 (multiplicity 2)  8 H 1.73

Uncorrected energy (eV per atom): -3.32

---

No. 4
Computed, not measured: a relaxed K4H6Ir crystal at the PBE-GGA level of DFT.

abc: 7.7954 7.7954 7.8467
angles: 90.00 90.00 90.00
Last column: nearest neighbours and their distance in Å.
Space group P4/mnc (No. 128)
Unique sites:
K: 0.2180 0.2820 0.2500 (multiplicity 8)  6 H 2.78-2.80
H: 0.0000 0.0000 0.2167 (multiplicity 4)  1 Ir 1.70
H: 0.0292 0.7838 0.0000 (multiplicity 8)  1 Ir 1.70
Ir: 0.0000 0.0000 0.0000 (multiplicity 2)  6 H 1.70

Uncorrected energy (eV per atom): -3.33

---

No. 5
Computed, not measured: a relaxed K2HIr crystal at the PBE-GGA level of DFT.

abc: 11.2793 11.2793 3.4414
angles: 90.00 90.00 90.00
Last column: nearest neighbours and their distance in Å.
Space group I-42d (No. 122)
Unique sites:
K: 0.0403 0.2500 0.1250 (multiplicity 8)  2 H 2.89, 2 Ir 3.13
H: 0.0000 0.0000 0.0000 (multiplicity 4)  2 Ir 1.72
Ir: 0.0000 0.0000 0.5000 (multiplicity 4)  2 H 1.72

Excess energy over the best structure of this formula in the dataset (meV/atom): 0
Uncorrected energy (eV per atom): -3.26

---

No. 6
Computed, not measured: a relaxed K2HIr crystal at the PBE-GGA level of DFT.

abc: 7.7730 7.7730 7.7730
angles: 90.00 90.00 90.00
Last column: nearest neighbours and their distance in Å.
Space group Fm-3m (No. 225)
Unique sites:
K: 0.2500 0.2500 0.2500 (multiplicity 8)  4 H 3.37, 4 Ir 3.37
H: 0.0000 0.0000 0.0000 (multiplicity 4)  8 K 3.37
Ir: 0.0000 0.0000 0.5000 (multiplicity 4)  8 K 3.37

Excess energy over the best structure of this formula in the dataset (meV/atom): 672
Uncorrected energy (eV per atom): -2.58

---

- The lowest uncorrected energy belongs to which entry?
  KHIr2

---

What did the second record say?
Computed, not measured: a relaxed K3H9Ir2 crystal at the PBE-GGA level of DFT.

abc: 5.7592 5.7592 14.6441
angles: 90.00 90.00 120.00
Last column: nearest neighbours and their distance in Å.
Space group P6_3/mmc (No. 194)
Unique sites:
K: 0.0000 0.0000 0.2500 (multiplicity 2)  12 H 2.89-3.13
K: 0.3333 0.6667 0.0843 (multiplicity 4)  12 H 2.85-3.11
H: 0.0581 0.5291 0.7500 (multiplicity 6)  2 Ir 1.87
H: 0.2099 0.4198 0.5912 (multiplicity 12)  1 Ir 1.63
Ir: 0.3333 0.6667 0.6637 (multiplicity 4)  3 H 1.63

Uncorrected energy (eV per atom): -3.99

---

- Which of these has the lowest uncorrected energy?
  KHIr2

---

- Among the records above, which one has the lowest uncorrected energy?
  KHIr2